Here is crystalline AlW3F at its relaxed geometry from Alexandria. Energies are from PBE+U.

Results
energy above the most stable polymorph in this dataset = 0 meV/atom
DOS at the Fermi energy = 2.9 states/eV per cell

Unit cell a=4.3010 b=4.3010 c=4.3010 alpha=90.00 beta=90.00 gamma=90.00
With the nearest neighbours (Å) after each atom.
Element x y z (fractional)
Al 0.5000 0.5000 0.5000  12 W 3.04
W 0.0000 0.5000 0.0000  2 F 2.15
W 0.0000 0.0000 0.5000  2 F 2.15
W 0.5000 0.0000 0.0000  2 F 2.15
F 0.0000 0.0000 0.0000  6 W 2.15